# CaBi2Au

A geometry-optimized CaBi2Au structure (PBE, Alexandria via LeMat-Bulk).

abc: 7.603 7.603 7.603
angles: 90.00 90.00 90.00
Space group Fm-3m (No. 225)
Asymmetric unit:
Ca 0.000 0.000 0.000
Bi 0.250 0.250 0.250
Au 0.000 0.000 0.500

Output
V: 109.9 Å³/f.u.
energy relative to the elements: -0.197 eV per atom
calculated total energy: -3.457 eV per atom

# CaBiAu4

A geometry-optimized CaBiAu4 structure (PBE, Alexandria via LeMat-Bulk).

abc: 8.066 8.066 8.066
angles: 90.00 90.00 90.00
Space group F-43m (No. 216)
Asymmetric unit:
Ca 0.000 0.000 0.000
Bi 0.250 0.250 0.750
Au 0.125 0.125 0.375

Output
V: 131.2 Å³/f.u.
energy relative to the elements: -0.417 eV per atom
calculated total energy: -3.582 eV per atom

# Ca2Bi2Au

A geometry-optimized Ca2Bi2Au structure (PBE, Alexandria via LeMat-Bulk).

abc: 12.058 4.660 11.510
angles: 90.00 113.73 90.00
Space group C2/m (No. 12)
Asymmetric unit:
Ca 0.014 0.000 0.340
Ca 0.168 0.000 0.112
Bi 0.054 0.500 0.885
Bi 0.162 0.500 0.584
Au 0.186 0.500 0.321

Output
V: 148.0 Å³/f.u.
energy relative to the elements: -0.656 eV per atom
calculated total energy: -3.665 eV per atom
distance to the lowest polymorph of the same formula: 0 kJ/mol of formula units

# Ca12BiAu6

A geometry-optimized Ca12BiAu6 structure (PBE, Alexandria via LeMat-Bulk).

abc: 10.487 10.487 10.487
angles: 90.00 90.00 90.00
Space group Im-3 (No. 204)
Asymmetric unit:
Ca 0.000 0.298 0.181
Bi 0.000 0.000 0.000
Au 0.000 0.133 0.500

Output
V: 576.6 Å³/f.u.
energy relative to the elements: -0.619 eV per atom
calculated total energy: -3.123 eV per atom

# CaBi2Au

A geometry-optimized CaBi2Au structure (PBE, Alexandria via LeMat-Bulk).

abc: 4.874 4.874 4.532
angles: 90.00 90.00 90.00
Space group P4/mmm (No. 123)
Asymmetric unit:
Ca 0.000 0.000 0.000
Bi 0.000 0.500 0.500
Au 0.500 0.500 0.000

Output
V: 107.7 Å³/f.u.
energy relative to the elements: -0.405 eV per atom
calculated total energy: -3.665 eV per atom

# Ca3Bi2Au2

A geometry-optimized Ca3Bi2Au2 structure (PBE, Alexandria via LeMat-Bulk).

abc: 4.553 23.085 3.663
angles: 90.00 90.00 90.00
Space group Cmmm (No. 65)
Asymmetric unit:
Ca 0.000 0.000 0.000
Ca 0.000 0.172 0.000
Bi 0.000 0.417 0.500
Au 0.000 0.286 0.500

Output
V: 192.5 Å³/f.u.
energy relative to the elements: -0.768 eV per atom
calculated total energy: -3.671 eV per atom

# CaCdBiAu2

A geometry-optimized CaCdBiAu2 structure (PBE, Alexandria via LeMat-Bulk).

abc: 5.464 5.464 6.055
angles: 90.00 90.00 90.00
Space group P4/mmm (No. 123)
Asymmetric unit:
Ca 0.000 0.000 0.000
Cd 0.500 0.500 0.000
Bi 0.000 0.000 0.500
Au 0.000 0.500 0.500

Output
V: 180.8 Å³/f.u.
energy relative to the elements: 0.171 eV per atom
calculated total energy: -2.499 eV per atom

# CaCeBiAu

A geometry-optimized CaCeBiAu structure (PBE, Alexandria via LeMat-Bulk).

abc: 7.663 7.663 7.663
angles: 90.00 90.00 90.00
Space group F-43m (No. 216)
Asymmetric unit:
Ca 0.000 0.000 0.000
Ce 0.000 0.000 0.500
Bi 0.250 0.250 0.750
Au 0.250 0.250 0.250

Output
V: 112.5 Å³/f.u.
energy relative to the elements: -0.674 eV per atom
calculated total energy: -4.448 eV per atom

# Ca2Cu3BiAu12

A geometry-optimized Ca2Cu3BiAu12 structure (PBE, Alexandria via LeMat-Bulk).

abc: 8.4370 8.4370 20.4942
angles: 90.00 90.00 120.00
Space group R-3m (No. 166, hexagonal axes)
Asymmetric unit:
Ca 0.0000 0.0000 0.1041
Cu 0.0000 0.5000 0.0000
Bi 0.0000 0.0000 0.5000
Au 0.0086 0.5043 0.3676
Au 0.0438 0.5219 0.8755

Output
V: 421.1 Å³/f.u.
energy relative to the elements: 0.037 eV per atom
calculated total energy: -3.269 eV per atom

# CaErBiAu

A geometry-optimized CaErBiAu structure (PBE, Alexandria via LeMat-Bulk).

abc: 7.505 7.505 7.505
angles: 90.00 90.00 90.00
Space group F-43m (No. 216)
Asymmetric unit:
Ca 0.000 0.000 0.000
Er 0.000 0.000 0.500
Bi 0.250 0.250 0.250
Au 0.250 0.250 0.750

Output
V: 105.7 Å³/f.u.
energy relative to the elements: -0.677 eV per atom
calculated total energy: -4.108 eV per atom

# Ca3Ga2BiAu9

A geometry-optimized Ca3Ga2BiAu9 structure (PBE, Alexandria via LeMat-Bulk).

abc: 8.1399 8.1399 6.6854
angles: 90.00 90.00 120.00
Space group P-3m1 (No. 164)
Asymmetric unit:
Ca 0.0000 0.0000 0.0000
Ca 0.3333 0.6667 0.6501
Ga 0.3333 0.6667 0.1322
Bi 0.0000 0.0000 0.5000
Au 0.0000 0.5000 0.0000
Au 0.1760 0.3520 0.3069

Output
V: 383.6 Å³/f.u.
energy relative to the elements: -0.266 eV per atom
calculated total energy: -3.295 eV per atom

# Ca2GaBiAu6

A geometry-optimized Ca2GaBiAu6 structure (PBE, Alexandria via LeMat-Bulk).

abc: 6.8039 6.8039 39.5820
angles: 90.00 90.00 120.00
Space group R-3m (No. 166, hexagonal axes)
Asymmetric unit:
Ca 0.0000 0.0000 0.1211
Ca 0.0000 0.0000 0.2651
Ga 0.0000 0.0000 0.0000
Ga 0.0000 0.0000 0.5000
Bi 0.0000 0.0000 0.4232
Au 0.0528 0.5264 0.7170
Au 0.0635 0.5317 0.8588

Output
V: 264.5 Å³/f.u.
energy relative to the elements: -0.346 eV per atom
calculated total energy: -3.404 eV per atom

Which formula does entry 1 have? CaBi2Au